Material: Si2NiSe
Method: DFT, PBE-GGA
State: optimized geometry

Cell and atoms, written as CIF:
```
data_Si2NiSe
_cell_length_a 2.5608
_cell_length_b 2.5608
_cell_length_c 11.1199
_cell_angle_alpha 90.00
_cell_angle_beta 90.00
_cell_angle_gamma 90.00
_space_group_name_H-M_alt 'P 4/m m m'
_space_group_IT_number 123
_space_group_name_Hall '-P 4 2'
loop_
_atom_site_label
_atom_site_type_symbol
_atom_site_fract_x
_atom_site_fract_y
_atom_site_fract_z
_atom_site_occupancy
Si1 Si 0.0000 0.0000 0.1559 1
Ni1 Ni 0.5000 0.5000 0.0000 1
Se1 Se 0.5000 0.5000 0.5000 1
```

For the density, the calculation gives 4.4 g/cm³. The raw formation energy is 0.5 eV per formula unit. Its crystal system is tetragonal. The value obtained for the final energy is -19.59 eV for the cell shown.